RbSmMo after structural relaxation, computed with PBE.

```
RbSmMo
1.0
0.000 3.767 3.767
3.767 0.000 3.767
3.767 3.767 0.000
Rb Sm Mo
1 1 1
direct
0.000 0.000 0.000 Rb
0.500 0.500 0.500 Sm
0.250 0.250 0.250 Mo
```

ΔE to the lowest computed polymorph: 0.000 eV per atom
M_tot: 2.5 μB per formula unit

RbSn5Mo3 after structural relaxation, computed with PBE.

```
RbSn5Mo3
1.0
5.550 0.000 0.000
-2.775 4.806 0.000
0.000 0.000 9.075
Rb Sn Mo
1 5 3
direct
0.000 0.000 0.000 Rb
0.000 0.000 0.500 Sn
0.333 0.667 0.233 Sn
0.333 0.667 0.767 Sn
0.667 0.333 0.233 Sn
0.667 0.333 0.767 Sn
0.000 0.500 0.500 Mo
0.500 0.000 0.500 Mo
0.500 0.500 0.500 Mo
```

M_tot: 0.0 μB per formula unit
VASP energy: -5.9317 eV/atom

RbSrMo after structural relaxation, computed with PBE.

```
RbSrMo
1.0
0.000 4.148 4.148
4.148 0.000 4.148
4.148 4.148 0.000
Rb Sr Mo
1 1 1
direct
0.000 0.000 0.000 Rb
0.250 0.250 0.250 Sr
0.750 0.750 0.750 Mo
```

ΔE to the lowest computed polymorph: 0.127 eV per atom
M_tot: 4.8 μB per formula unit

RbSrMo after structural relaxation, computed with PBE.

```
RbSrMo
1.0
0.000 4.251 4.251
4.251 0.000 4.251
4.251 4.251 0.000
Rb Sr Mo
1 1 1
direct
0.000 0.000 0.000 Rb
0.750 0.750 0.750 Sr
0.500 0.500 0.500 Mo
```

ΔE to the lowest computed polymorph: 0.000 eV per atom
M_tot: 4.8 μB per formula unit

RbTaMo after structural relaxation, computed with PBE.

```
RbTaMo
1.0
0.000 3.318 3.318
3.318 0.000 3.318
3.318 3.318 0.000
Rb Ta Mo
1 1 1
direct
0.000 0.000 0.000 Rb
0.500 0.500 0.500 Ta
0.250 0.250 0.250 Mo
```

ΔE to the lowest computed polymorph: 0.000 eV per atom
M_tot: 0.0 μB per formula unit

RbTaMo after structural relaxation, computed with PBE.

```
RbTaMo
1.0
0.000 3.355 3.355
3.355 0.000 3.355
3.355 3.355 0.000
Rb Ta Mo
1 1 1
direct
0.000 0.000 0.000 Rb
0.250 0.250 0.250 Ta
0.750 0.750 0.750 Mo
```

ΔE to the lowest computed polymorph: 1.186 eV per atom
M_tot: 1.4 μB per formula unit

RbTbMo after structural relaxation, computed with PBE.

```
RbTbMo
1.0
0.000 3.778 3.778
3.778 0.000 3.778
3.778 3.778 0.000
Rb Tb Mo
1 1 1
direct
0.000 0.000 0.000 Rb
0.500 0.500 0.500 Tb
0.250 0.250 0.250 Mo
```

M_tot: 2.9 μB per formula unit
VASP energy: -3.7141 eV/atom

RbTmMo after structural relaxation, computed with PBE.

```
RbTmMo
1.0
0.000 3.763 3.763
3.763 0.000 3.763
3.763 3.763 0.000
Rb Tm Mo
1 1 1
direct
0.000 0.000 0.000 Rb
0.500 0.500 0.500 Tm
0.250 0.250 0.250 Mo
```

ΔE to the lowest computed polymorph: 0.000 eV per atom
M_tot: 3.3 μB per formula unit